Mn3Cd2O8 after structural relaxation, computed with PBE+U.

Values from the calculation:
The value obtained for the total magnetic moment is 0.69 μB/atom. For the total energy, the calculation gives -6.23 eV per atom.

Geometry as CIF:
```
data_Mn3Cd2O8
_chemical_formula_sum 'Mn6 Cd4 O16'
_symmetry_space_group_name_H-M 'C 1 2/m 1'
_symmetry_Int_Tables_number 12
_cell_length_a 10.896
_cell_length_b 5.941
_cell_length_c 5.049
_cell_angle_alpha 90.00
_cell_angle_beta 108.69
_cell_angle_gamma 90.00
loop_
_symmetry_equiv_pos_as_xyz
'x,y,z'
'-x,-y,-z'
'-x,y,-z'
'x,-y,z'
'x+1/2,y+1/2,z'
'-x+1/2,-y+1/2,-z'
'-x+1/2,y+1/2,-z'
'x+1/2,-y+1/2,z'
loop_
_atom_site_label
_atom_site_type_symbol
_atom_site_fract_x
_atom_site_fract_y
_atom_site_fract_z
Mn1 Mn 0.000 0.000 0.000
Mn2 Mn 0.000 0.257 0.500
Cd1 Cd 0.219 0.500 0.157
O1 O 0.097 0.000 0.400
O2 O 0.104 0.222 0.887
O3 O 0.104 0.500 0.451
```